# 1
Below is a relaxed structure of Mg2CoP2, with properties calculated at the PBE level.

extended XYZ file:
```
5
Lattice="-2.175 2.175 4.831 2.175 -2.175 4.831 2.175 2.175 -4.831" Properties=species:S:1:pos:R:3 pbc="T T T"
Mg 2.175 0.000 2.416
Mg 0.000 2.175 2.416
Co 0.000 0.000 0.000
P 0.000 0.000 3.753
P 0.000 0.000 5.909
```

Properties
The density of states at the Fermi level comes out at 0.915 states/eV per atom. As for the energy above the most stable polymorph in this dataset: 0.614 eV/atom. For the volume, the calculation gives 91.4 Å³/f.u. The value obtained for the energy of formation is 112 kJ/mol of formula units. The calculation puts the total moment at 2.1 μB/cell.

***

# 2
Below is a relaxed structure of LiNbPtO6, with properties calculated at the PBE level.

extended XYZ file:
```
18
Lattice="5.266 0.000 0.000 -2.633 4.561 0.000 0.000 0.000 9.119" Properties=species:S:1:pos:R:3 pbc="T T T"
Li 0.000 0.000 0.000
Li 0.000 0.000 4.559
Nb 0.000 3.040 2.280
Nb 2.633 1.520 6.839
Pt 0.000 3.040 6.839
Pt 2.633 1.520 2.280
O -0.921 1.642 5.771
O -1.671 2.942 7.908
O 0.921 1.642 7.908
O -0.750 4.537 5.771
O 1.883 0.023 1.211
O 0.962 1.619 3.348
O 1.671 2.942 5.771
O 0.750 4.537 7.908
O 3.383 0.023 3.348
O 1.712 2.918 1.211
O 4.305 1.619 1.211
O 3.554 2.918 3.348
```

Properties
The density of states at the Fermi level comes out at 0.603 states/eV per atom. For the volume, the calculation gives 109.5 Å³/f.u. The calculation puts the uncorrected formation energy at -1.315 eV per atom. The calculation puts the total moment at 2.7 μB/cell.

***

# 3
Below is a relaxed structure of Li2PrHoTl4, with properties calculated at the PBE level.

extended XYZ file:
```
8
Lattice="2.620 1.512 8.579 -2.620 1.512 8.579 0.000 -3.025 8.579" Properties=species:S:1:pos:R:3 pbc="T T T"
Li 0.000 0.000 6.401
Li 0.000 0.000 19.338
Pr 0.000 0.000 0.000
Ho 0.000 0.000 12.869
Tl 0.000 0.000 3.280
Tl 0.000 0.000 9.728
Tl 0.000 0.000 16.011
Tl 0.000 0.000 22.459
```

Properties
The density of states at the Fermi level comes out at 0.223 states/eV per atom. For the volume, the calculation gives 203.9 Å³/f.u. The value obtained for the energy of formation is -249 kJ/mol of formula units. The calculation puts the total moment at 0.0 μB/cell.

***

# 4
Below is a relaxed structure of Cs3PrO3, with properties calculated at the PBE level.

extended XYZ file:
```
28
Lattice="8.293 0.000 0.000 0.000 7.808 0.000 -0.937 0.000 12.743" Properties=species:S:1:pos:R:3 pbc="T T T"
Cs 0.436 1.027 2.123
Cs -0.032 2.877 8.494
Cs 1.982 1.144 11.775
Cs 2.451 2.760 5.403
Cs 2.475 5.274 10.292
Cs 2.943 6.438 3.920
Cs 4.413 1.370 8.822
Cs 4.881 2.534 2.451
Cs 4.905 5.048 7.340
Cs 5.374 6.663 0.968
Cs 7.388 4.931 4.249
Cs 6.920 6.780 10.620
Pr 1.234 4.667 0.950
Pr 0.766 7.044 7.321
Pr 6.590 0.763 5.422
Pr 6.122 3.140 11.793
O 0.615 0.391 5.290
O 0.146 3.513 11.662
O 1.577 4.951 7.247
O 2.045 6.760 0.876
O 1.743 0.339 8.992
O 2.211 3.565 2.621
O 5.145 4.243 10.122
O 5.613 7.469 3.751
O 5.311 1.047 11.867
O 5.779 2.857 5.496
O 7.210 4.295 1.081
O 6.741 7.417 7.453
```

Properties
The density of states at the Fermi level comes out at 0.000 states/eV per atom. As for the energy above the most stable polymorph in this dataset: 0.000 eV/atom. For the volume, the calculation gives 206.3 Å³/f.u. The calculation puts the uncorrected formation energy at -1.821 eV per atom. The calculation puts the total moment at 0.0 μB/cell.

***

# 5
Below is a relaxed structure of YSiB2Se, with properties calculated at the PBE level.

extended XYZ file:
```
5
Lattice="4.734 0.000 0.000 0.000 4.734 0.000 0.000 0.000 5.599" Properties=species:S:1:pos:R:3 pbc="T T T"
Y 0.000 0.000 0.000
Si 0.000 0.000 2.800
B 0.000 2.367 0.000
B 2.367 0.000 0.000
Se 2.367 2.367 2.800
```

Properties
The density of states at the Fermi level comes out at 0.678 states/eV per atom. For the volume, the calculation gives 125.5 Å³/f.u. The calculation puts the uncorrected formation energy at 1.911 eV per atom. The calculation puts the total moment at 0.0 μB/cell.

***

# 6
Below is a relaxed structure of YAsSe2Br, with properties calculated at the PBE level.

extended XYZ file:
```
5
Lattice="5.555 0.000 0.000 0.000 5.555 0.000 0.000 0.000 5.399" Properties=species:S:1:pos:R:3 pbc="T T T"
Y 0.000 0.000 0.000
As 2.778 2.778 2.699
Se 0.000 2.778 0.000
Se 2.778 0.000 0.000
Br 0.000 0.000 2.699
```

Properties
The density of states at the Fermi level comes out at 0.581 states/eV per atom. As for the energy above the most stable polymorph in this dataset: 0.052 eV/atom. For the volume, the calculation gives 166.6 Å³/f.u. The calculation puts the uncorrected formation energy at -0.266 eV per atom. The calculation puts the total moment at 1.0 μB/cell.

***

# 7
Below is a relaxed structure of CeDy2Tm8, with properties calculated at the PBE level.

extended XYZ file:
```
11
Lattice="8.932 -2.476 0.000 8.932 2.476 0.000 -2.059 0.000 7.552" Properties=species:S:1:pos:R:3 pbc="T T T"
Ce 0.000 0.000 0.000
Dy 4.102 0.000 2.741
Dy 11.703 0.000 4.811
Tm 0.677 0.000 3.433
Tm 1.357 0.000 6.850
Tm 4.814 0.000 6.192
Tm 7.577 0.000 2.040
Tm 8.228 0.000 5.512
Tm 10.991 0.000 1.360
Tm 14.449 0.000 0.702
Tm 15.128 0.000 4.120
```

Properties
The density of states at the Fermi level comes out at 1.581 states/eV per atom. As for the energy above the most stable polymorph in this dataset: 0.000 eV/atom. For the volume, the calculation gives 334.1 Å³/f.u. The value obtained for the energy of formation is 44 kJ/mol of formula units. The calculation puts the total moment at 1.1 μB/cell.

***

# 8
Below is a relaxed structure of CdInHg2Br, with properties calculated at the PBE level.

extended XYZ file:
```
5
Lattice="5.818 0.000 0.000 0.000 5.818 0.000 0.000 0.000 5.778" Properties=species:S:1:pos:R:3 pbc="T T T"
Cd 0.000 0.000 0.000
In 2.909 2.909 2.889
Hg 0.000 2.909 2.889
Hg 2.909 0.000 2.889
Br 2.909 2.909 0.000
```

Properties
The density of states at the Fermi level comes out at 0.192 states/eV per atom. As for the energy above the most stable polymorph in this dataset: 0.000 eV/atom. For the volume, the calculation gives 195.6 Å³/f.u. The calculation puts the uncorrected formation energy at -0.083 eV per atom. The calculation puts the total moment at 0.0 μB/cell.

***

# 9
Below is a relaxed structure of CePu3Np2N6, with properties calculated at the PBE level.

extended XYZ file:
```
12
Lattice="3.008 -5.206 0.000 3.008 5.206 0.000 -2.003 0.000 5.693" Properties=species:S:1:pos:R:3 pbc="T T T"
Ce 0.000 0.000 0.000
Pu 2.007 3.497 2.846
Pu 2.007 0.000 2.846
Pu 2.007 -3.497 2.846
Np 3.008 1.741 0.000
Np 3.008 -1.741 0.000
N 1.051 1.814 1.386
N 0.098 0.000 4.327
N 1.051 -1.814 1.386
N 2.962 1.814 4.307
N 3.916 0.000 1.366
N 2.962 -1.814 4.307
```

Properties
The density of states at the Fermi level comes out at 2.241 states/eV per atom. For the volume, the calculation gives 178.3 Å³/f.u. The calculation puts the uncorrected formation energy at -1.211 eV per atom. The calculation puts the total moment at 9.7 μB/cell.

***

# 10
Below is a relaxed structure of ReSi2Rh, with properties calculated at the PBE level.

extended XYZ file:
```
4
Lattice="1.445 0.834 7.814 -1.445 0.834 7.814 0.000 -1.668 7.814" Properties=species:S:1:pos:R:3 pbc="T T T"
Re 0.000 0.000 0.000
Si 0.000 0.000 5.993
Si 0.000 0.000 11.833
Rh 0.000 0.000 17.904
```

Properties
The density of states at the Fermi level comes out at 0.606 states/eV per atom. As for the energy above the most stable polymorph in this dataset: 0.333 eV/atom. For the volume, the calculation gives 56.5 Å³/f.u. The calculation puts the uncorrected formation energy at -0.113 eV per atom. The calculation puts the total moment at 0.0 μB/cell.

***

# 11
Below is a relaxed structure of Ba2SmCd3, with properties calculated at the PBE level.

extended XYZ file:
```
12
Lattice="2.888 -8.690 0.000 2.888 8.690 0.000 0.000 0.000 8.210" Properties=species:S:1:pos:R:3 pbc="T T T"
Ba 0.000 0.000 0.000
Ba 0.000 0.000 4.105
Ba 2.888 2.859 0.000
Ba 2.888 -2.859 0.000
Sm 2.888 2.882 4.105
Sm 2.888 -2.882 4.105
Cd 2.888 5.612 2.366
Cd 2.888 5.612 5.844
Cd 2.888 0.000 2.249
Cd 2.888 0.000 5.961
Cd 2.888 -5.612 2.366
Cd 2.888 -5.612 5.844
```

Properties
The density of states at the Fermi level comes out at 0.778 states/eV per atom. For the volume, the calculation gives 206.1 Å³/f.u. The value obtained for the energy of formation is -162 kJ/mol of formula units. The calculation puts the total moment at 0.0 μB/cell.

***

# 12
Below is a relaxed structure of Pr4Sn2P, with properties calculated at the PBE level.

extended XYZ file:
```
7
Lattice="6.034 -2.299 0.000 6.034 2.299 0.000 -4.761 0.000 7.658" Properties=species:S:1:pos:R:3 pbc="T T T"
Pr -0.722 0.000 2.762
Pr -0.445 0.000 7.130
Pr 7.753 0.000 0.527
Pr 8.030 0.000 4.896
Sn 2.791 0.000 2.607
Sn 4.517 0.000 5.051
P 0.000 0.000 0.000
```

Properties
The density of states at the Fermi level comes out at 0.987 states/eV per atom. For the volume, the calculation gives 212.5 Å³/f.u. The value obtained for the energy of formation is -605 kJ/mol of formula units. The calculation puts the total moment at 0.0 μB/cell.